{"formula": "Cr2CuPb", "functional": "PBE", "state": "relaxed", "lattice_angstrom": [[4.806, -0.329, -0.467], [1.611, 4.540, 0.467], [-2.953, -2.496, 2.912]], "species": ["Cr", "Cr", "Cu", "Pb"], "fractional_positions": [[0.000, 0.000, 0.000], [0.750, 0.250, 0.500], [0.500, 0.500, 0.000], [0.250, 0.750, 0.500]], "rho_g_cm3": 9.322, "sg": "I-4m2, No. 119", "n_ef_per_ev_atom": 0.714, "magmom_total_mub_per_fu": 0.1, "ef_mev_per_atom": 478}